Computed, not measured: a relaxed FeIrSe crystal at the PBE level of DFT.

Cell: 2.854 4.768 13.979 Å, 90.00 90.00 90.00°
Space group Fmm2 (No. 42)
Asymmetric unit:
Fe 0.000 0.000 0.000
Ir 0.000 0.000 0.646
Se 0.000 0.000 0.351

**Size of the total moment**: 1.140 μB per atom
**VASP energy**: -6.4885 eV/atom